MgTi5Sn3 after structural relaxation. Source: the Alexandria database, functional GGA-PBE.

a b c (Å): 8.274 8.274 5.683
angles (deg): 90.00 90.00 120.00
Element x y z (fractional)
Mg: 0.000 0.000 0.000
Mg: 0.000 0.000 0.500
Ti: 0.000 0.297 0.250
Ti: 0.000 0.703 0.750
Ti: 0.297 0.000 0.250
Ti: 0.297 0.297 0.750
Ti: 0.333 0.667 0.000
Ti: 0.333 0.667 0.500
Ti: 0.667 0.333 0.000
Ti: 0.667 0.333 0.500
Ti: 0.703 0.000 0.750
Ti: 0.703 0.703 0.250
Sn: 0.000 0.369 0.750
Sn: 0.000 0.631 0.250
Sn: 0.369 0.000 0.750
Sn: 0.369 0.369 0.250
Sn: 0.631 0.000 0.250
Sn: 0.631 0.631 0.750

formation energy	-0.27	eV per atom
symmetry	P6_3/mcm